1.
ZnRhN2F: relaxed, PBE.

Values from the calculation:
Volume (Å³/cell): 58
Total magnetic moment (μB per atom): 0.286
Polymorph energy (0 for the lowest one) (eV/atom): 0.5280
Uncorrected energy (eV/cell): -21.261
Formation energy (no corrections) (eV per atom): 1.177
Density of states at the Fermi level (states/eV/atom): 1.195

a b c (Å): 3.876 3.876 3.843
angles (deg): 90.00 90.00 90.00
Space group P4/mmm (No. 123)
Unique sites:
Zn  0.000  0.000  0.000 (multiplicity 1)
Rh  0.500  0.500  0.500 (multiplicity 1)
N  0.000  0.500  0.000 (multiplicity 2)
F  0.000  0.000  0.500 (multiplicity 1)

***

2.
Y2ZrCu: relaxed, PBE.

Values from the calculation:
Volume (Å³/cell): 196
Total magnetic moment (μB per atom): 0.000
Polymorph energy (0 for the lowest one) (eV/atom): 0.0321
Uncorrected energy (eV/cell): -51.395
Energy of formation from the pure elements (eV per atom): -0.031
Density of states at the Fermi level (states/eV/atom): 1.142

a b c (Å): 3.469 5.130 10.987
angles (deg): 90.00 90.00 90.00
Space group Imm2 (No. 44)
Unique sites:
Y  0.000  0.000  0.000 (multiplicity 2)
Y  0.000  0.500  0.210 (multiplicity 2)
Zr  0.000  0.500  0.790 (multiplicity 2)
Cu  0.000  0.000  0.484 (multiplicity 2)

***

3.
Pr3Al3Zn: relaxed, PBE.

Values from the calculation:
Volume (Å³/cell): 715
Total magnetic moment (μB per atom): 0.000
Uncorrected energy (eV/cell): -117.905
Energy of formation from the pure elements (eV per atom): -0.377
Density of states at the Fermi level (states/eV/atom): 0.722

a b c (Å): 11.052 4.675 14.459
angles (deg): 90.00 106.85 90.00
Space group C2/m (No. 12)
Unique sites:
Pr  0.057  0.000  0.387 (multiplicity 4)
Pr  0.086  0.000  0.909 (multiplicity 4)
Pr  0.241  0.500  0.789 (multiplicity 4)
Al  0.066  0.500  0.239 (multiplicity 4)
Al  0.112  0.500  0.066 (multiplicity 4)
Al  0.127  0.500  0.547 (multiplicity 4)
Zn  0.239  0.000  0.607 (multiplicity 4)

***

4.
Cs2HgAs: relaxed, PBE.

Values from the calculation:
Volume (Å³/cell): 695
Total magnetic moment (μB per atom): 0.250
Polymorph energy (0 for the lowest one) (eV/atom): 0.1791
Uncorrected energy (eV/cell): -29.170
Energy of formation from the pure elements (eV per atom): -0.159
Density of states at the Fermi level (states/eV/atom): 1.074

a b c (Å): 8.859 8.859 8.859
angles (deg): 90.00 90.00 90.00
Space group Fm-3m (No. 225)
Unique sites:
Cs  0.250  0.250  0.250 (multiplicity 8)
Hg  0.000  0.000  0.000 (multiplicity 4)
As  0.000  0.000  0.500 (multiplicity 4)

***

5.
Mn2VHPt: relaxed, PBE.

Values from the calculation:
Volume (Å³/cell): 54
Total magnetic moment (μB per atom): 0.461
Polymorph energy (0 for the lowest one) (eV/atom): 0.0000
Uncorrected energy (eV/cell): -38.098
Density of states at the Fermi level (states/eV/atom): 0.799

a b c (Å): 3.756 3.756 3.798
angles (deg): 90.00 90.00 90.00
Space group P4/mmm (No. 123)
Unique sites:
Mn  0.000  0.500  0.000 (multiplicity 2)
V  0.000  0.000  0.500 (multiplicity 1)
H  0.000  0.000  0.000 (multiplicity 1)
Pt  0.500  0.500  0.500 (multiplicity 1)

***

6.
ScCdRe: relaxed, PBE.

Values from the calculation:
Volume (Å³/cell): 274
Total magnetic moment (μB per atom): 0.554
Polymorph energy (0 for the lowest one) (eV/atom): 0.6412
Uncorrected energy (eV/cell): -68.665
Energy of formation from the pure elements (eV per atom): 0.843
Density of states at the Fermi level (states/eV/atom): 1.420

a b c (Å): 6.498 6.498 6.498
angles (deg): 90.00 90.00 90.00
Space group F-43m (No. 216)
Unique sites:
Sc  0.000  0.000  0.000 (multiplicity 4)
Cd  0.000  0.000  0.500 (multiplicity 4)
Re  0.250  0.250  0.750 (multiplicity 4)

***

7.
RbPd: relaxed, PBE.

Values from the calculation:
Volume (Å³/cell): 561
Total magnetic moment (μB per atom): 0.000
Uncorrected energy (eV/cell): -34.869
Energy of formation from the pure elements (eV per atom): 0.174
Density of states at the Fermi level (states/eV/atom): 0.587

a b c (Å): 11.7148 11.7148 4.7210
angles (deg): 90.00 90.00 120.00
Space group P6_3/mmc (No. 194)
Unique sites:
Rb  0.2128  0.4257  0.2500 (multiplicity 6)
Pd  0.0499  0.5249  0.7500 (multiplicity 6)

***

8.
MgTe2Au: relaxed, PBE.

Values from the calculation:
Volume (Å³/cell): 212
Total magnetic moment (μB per atom): 0.000
Uncorrected energy (eV/cell): -24.092
Formation energy (no corrections) (eV per atom): -0.223
Density of states at the Fermi level (states/eV/atom): 0.596

a b c (Å): 3.940 4.033 13.351
angles (deg): 90.00 90.00 90.00
Space group Imm2 (No. 44)
Unique sites:
Mg  0.000  0.000  0.000 (multiplicity 2)
Te  0.000  0.000  0.427 (multiplicity 2)
Te  0.000  0.500  0.701 (multiplicity 2)
Au  0.000  0.500  0.162 (multiplicity 2)

***

9.
La2TbTlO: relaxed, PBE.

Values from the calculation:
Volume (Å³/cell): 126
Total magnetic moment (μB per atom): 0.000
Uncorrected energy (eV/cell): -28.631
Formation energy (no corrections) (eV per atom): -1.364
Density of states at the Fermi level (states/eV/atom): 0.499

a b c (Å): 5.099 5.099 4.840
angles (deg): 90.00 90.00 90.00
Space group P4/mmm (No. 123)
Unique sites:
La  0.000  0.500  0.000 (multiplicity 2)
Tb  0.000  0.000  0.500 (multiplicity 1)
Tl  0.500  0.500  0.500 (multiplicity 1)
O  0.000  0.000  0.000 (multiplicity 1)

***

10.
La5Th4: relaxed, PBE.

Values from the calculation:
Volume (Å³/cell): 618
Total magnetic moment (μB per atom): 0.000
Uncorrected energy (eV/cell): -106.565
Energy of formation from the pure elements (eV per atom): 0.115
Density of states at the Fermi level (states/eV/atom): 1.958

a b c (Å): 13.104 13.104 3.598
angles (deg): 90.00 90.00 90.00
Space group I4/mmm (No. 139)
Unique sites:
La  0.000  0.000  0.000 (multiplicity 2)
La  0.167  0.167  0.500 (multiplicity 8)
Th  0.000  0.343  0.000 (multiplicity 8)

***

11.
SrTcMo: relaxed, PBE.

Values from the calculation:
Volume (Å³/cell): 308
Total magnetic moment (μB per atom): 0.101
Polymorph energy (0 for the lowest one) (eV/atom): 2.0615
Uncorrected energy (eV/cell): -62.535
Energy of formation from the pure elements (eV per atom): 2.415
Density of states at the Fermi level (states/eV/atom): 0.773

a b c (Å): 6.752 6.752 6.752
angles (deg): 90.00 90.00 90.00
Space group F-43m (No. 216)
Unique sites:
Sr  0.000  0.000  0.000 (multiplicity 4)
Tc  0.250  0.250  0.250 (multiplicity 4)
Mo  0.250  0.250  0.750 (multiplicity 4)

***

12.
ZrIrBr2: relaxed, PBE.

Values from the calculation:
Volume (Å³/cell): 127
Total magnetic moment (μB per atom): 0.000
Polymorph energy (0 for the lowest one) (eV/atom): 0.0908
Uncorrected energy (eV/cell): -22.548
Formation energy (no corrections) (eV per atom): -0.448
Density of states at the Fermi level (states/eV/atom): 0.234

a b c (Å): 3.491 5.568 6.645
angles (deg): 100.82 90.59 90.10
Space group P1 (No. 1)
Unique sites:
Zr  0.000  0.000  0.000 (multiplicity 1)
Ir  0.496  0.149  0.782 (multiplicity 1)
Br  0.495  0.621  0.813 (multiplicity 1)
Br  0.506  0.097  0.339 (multiplicity 1)

***

13.
Dy6GaOs2: relaxed, PBE.

Values from the calculation:
Volume (Å³/cell): 914
Total magnetic moment (μB per atom): 0.000
Uncorrected energy (eV/cell): -223.764
Energy of formation from the pure elements (eV per atom): -0.316
Density of states at the Fermi level (states/eV/atom): 0.920

a b c (Å): 9.394 9.423 10.329
angles (deg): 90.00 90.00 90.00
Space group Immm (No. 71)
Unique sites:
Dy  0.000  0.200  0.245 (multiplicity 8)
Dy  0.188  0.500  0.168 (multiplicity 8)
Dy  0.225  0.319  0.500 (multiplicity 8)
Ga  0.000  0.000  0.000 (multiplicity 2)
Ga  0.000  0.000  0.500 (multiplicity 2)
Os  0.000  0.326  0.000 (multiplicity 4)
Os  0.000  0.500  0.379 (multiplicity 4)

***

14.
CaYSeBr2: relaxed, PBE.

Values from the calculation:
Volume (Å³/cell): 163
Total magnetic moment (μB per atom): 0.187
Polymorph energy (0 for the lowest one) (eV/atom): 0.2741
Uncorrected energy (eV/cell): -20.453
Formation energy (no corrections) (eV per atom): -1.031
Density of states at the Fermi level (states/eV/atom): 0.722

a b c (Å): 5.347 5.347 5.702
angles (deg): 90.00 90.00 90.00
Space group P4/mmm (No. 123)
Unique sites:
Ca  0.000  0.000  0.000 (multiplicity 1)
Y  0.500  0.500  0.500 (multiplicity 1)
Se  0.000  0.000  0.500 (multiplicity 1)
Br  0.000  0.500  0.000 (multiplicity 2)

***

15.
CdMoRh: relaxed, PBE.

Values from the calculation:
Volume (Å³/cell): 201
Total magnetic moment (μB per atom): 0.000
Polymorph energy (0 for the lowest one) (eV/atom): 0.2986
Uncorrected energy (eV/cell): -73.954
Energy of formation from the pure elements (eV per atom): 0.203
Density of states at the Fermi level (states/eV/atom): 0.861

a b c (Å): 3.069 4.622 14.177
angles (deg): 90.00 90.00 90.00
Space group Fmm2 (No. 42)
Unique sites:
Cd  0.000  0.000  0.000 (multiplicity 4)
Mo  0.000  0.000  0.680 (multiplicity 4)
Rh  0.000  0.000  0.328 (multiplicity 4)

***

16.
Pr5Y6Th: relaxed, PBE.

Values from the calculation:
Volume (Å³/cell): 809
Total magnetic moment (μB per atom): 0.000
Uncorrected energy (eV/cell): -139.714
Energy of formation from the pure elements (eV per atom): 0.020
Density of states at the Fermi level (states/eV/atom): 1.245

a b c (Å): 6.316 10.935 11.905
angles (deg): 90.00 100.19 90.00
Space group C2/m (No. 12)
Unique sites:
Pr  0.000  0.000  0.000 (multiplicity 2)
Pr  0.000  0.167  0.500 (multiplicity 4)
Pr  0.000  0.333  0.000 (multiplicity 4)
Y  0.247  0.335  0.748 (multiplicity 8)
Y  0.247  0.500  0.253 (multiplicity 4)
Th  0.000  0.500  0.500 (multiplicity 2)

***

17.
Rb2ScGe2S6: relaxed, PBE.

Values from the calculation:
Volume (Å³/cell): 626
Total magnetic moment (μB per atom): 0.000
Uncorrected energy (eV/cell): -103.425
Formation energy (no corrections) (eV per atom): -0.859
Density of states at the Fermi level (states/eV/atom): 0.454

a b c (Å): 11.130 7.168 8.236
angles (deg): 90.00 107.56 90.00
Space group C2/m (No. 12)
Unique sites:
Rb  0.194  0.000  0.140 (multiplicity 4)
Sc  0.000  0.000  0.500 (multiplicity 2)
Ge  0.048  0.500  0.375 (multiplicity 4)
S  0.037  0.237  0.752 (multiplicity 8)
S  0.246  0.000  0.566 (multiplicity 4)

***

18.
K2BO3: relaxed, PBE.

Values from the calculation:
Volume (Å³/cell): 218
Total magnetic moment (μB per atom): 0.148
Polymorph energy (0 for the lowest one) (eV/atom): 0.0000
Uncorrected energy (eV/cell): -70.076
Formation energy (no corrections) (eV per atom): -1.882

a b c (Å): 5.9531 5.9531 7.0887
angles (deg): 90.00 90.00 120.00
Space group P-3m1 (No. 164)
Unique sites:
K  0.0000  0.0000  0.0000 (multiplicity 1)
K  0.0000  0.0000  0.5000 (multiplicity 1)
K  0.3333  0.6667  0.2490 (multiplicity 2)
B  0.3333  0.6667  0.7501 (multiplicity 2)
O  0.2006  0.4012  0.7502 (multiplicity 6)

***

19.
Na2PrI4: relaxed, PBE.

Values from the calculation:
Volume (Å³/cell): 1107
Total magnetic moment (μB per atom): 0.034
Uncorrected energy (eV/cell): -88.235
Formation energy (no corrections) (eV per atom): -1.206
Density of states at the Fermi level (states/eV/atom): 0.157

a b c (Å): 8.408 11.000 11.973
angles (deg): 90.00 90.00 90.00
Space group I2_12_12_1 (No. 24)
Unique sites:
Na  0.001  0.000  0.250 (multiplicity 4)
Na  0.250  0.250  0.000 (multiplicity 4)
Pr  0.000  0.250  0.506 (multiplicity 4)
I  0.000  0.040  0.993 (multiplicity 8)
I  0.241  0.250  0.291 (multiplicity 8)